--- one ---
# Sr4CaMn2Ga2O10

An optimized crystal structure of Sr4CaMn2Ga2O10 (PBE+U, the Alexandria database). Values from VASP.

Space-group type: No. 8

Structure (Quantum ESPRESSO input):
```
&SYSTEM
  ibrav = 0, nat = 19, ntyp = 5
/
ATOMIC_SPECIES
Sr 87.62 Sr.upf
Ca 40.08 Ca.upf
Mn 54.94 Mn.upf
Ga 69.72 Ga.upf
O 16.00 O.upf
ATOMIC_POSITIONS angstrom
Sr 0.000 0.000 0.000
Sr 2.899 0.000 5.230
Sr 5.614 0.000 0.230
Sr 5.523 0.000 3.551
Ca 0.128 0.000 3.302
Mn 2.860 1.730 1.743
Mn 2.860 -1.730 1.743
Ga -0.202 1.316 6.766
Ga -0.202 -1.316 6.766
O -1.578 0.000 6.786
O 5.066 1.897 1.783
O 2.568 0.000 2.889
O 1.217 0.000 6.922
O 4.625 1.764 5.077
O 4.437 1.552 8.348
O 5.066 -1.897 1.783
O 7.526 0.000 2.284
O 4.625 -1.764 5.077
O 4.437 -1.552 8.348
CELL_PARAMETERS angstrom
4.708 -3.795 0.000
4.708 3.795 0.000
-3.042 0.000 8.748
```

--- two ---
# Sr4CaMn2Ga2O10

An optimized crystal structure of Sr4CaMn2Ga2O10 (PBE+U, the Alexandria database). Values from VASP.

Space-group type: No. 69

Structure (Quantum ESPRESSO input):
```
&SYSTEM
  ibrav = 0, nat = 19, ntyp = 5
/
ATOMIC_SPECIES
Sr 87.62 Sr.upf
Ca 40.08 Ca.upf
Mn 54.94 Mn.upf
Ga 69.72 Ga.upf
O 16.00 O.upf
ATOMIC_POSITIONS angstrom
Sr 6.158 4.176 5.822
Sr 6.158 4.176 10.987
Sr 2.005 4.176 5.822
Sr 2.005 4.176 10.987
Ca 0.000 0.000 0.000
Mn 4.082 2.088 4.202
Mn 0.000 2.088 4.202
Ga 4.082 2.801 8.405
Ga 4.082 5.551 8.405
O 4.082 1.719 6.877
O 2.041 2.088 4.202
O 4.082 4.176 4.354
O 4.082 1.719 9.932
O 5.472 4.176 8.405
O 2.691 4.176 8.405
O 4.082 6.633 6.877
O 4.082 4.176 12.456
O 6.122 6.264 12.607
O 4.082 6.633 9.932
CELL_PARAMETERS angstrom
0.000 4.176 8.405
4.082 0.000 8.405
4.082 4.176 0.000
```

Stability summary: most stable two, least stable one.

--- one ---
# Sr4CaMn2Ga2O10

An optimized crystal structure of Sr4CaMn2Ga2O10 (PBE+U, the Alexandria database). Values from VASP.

Space-group type: No. 5

Structure (Quantum ESPRESSO input):
```
&SYSTEM
  ibrav = 0, nat = 19, ntyp = 5
/
ATOMIC_SPECIES
Sr 87.62 Sr.upf
Ca 40.08 Ca.upf
Mn 54.94 Mn.upf
Ga 69.72 Ga.upf
O 16.00 O.upf
ATOMIC_POSITIONS angstrom
Sr -0.117 3.310 2.027
Sr 0.038 0.000 1.700
Sr 4.159 3.310 2.316
Sr 4.004 0.000 2.644
Ca 4.008 -1.490 0.000
Mn 2.182 1.743 0.034
Mn 1.861 1.743 4.310
Ga 2.438 5.553 0.786
Ga 1.604 5.553 3.557
O -1.574 3.940 4.268
O 1.631 -1.224 0.089
O -0.655 -2.684 2.489
O 2.021 1.662 2.172
O 4.008 0.710 0.000
O 5.617 3.940 0.075
O 2.411 -1.224 4.254
O 4.008 -6.635 0.000
O 2.021 -6.755 2.172
O 4.697 -2.684 1.854
CELL_PARAMETERS angstrom
4.008 -8.378 0.000
4.008 8.378 0.000
-3.973 0.000 4.344
```

--- two ---
# Sr4CaMn2Ga2O10

An optimized crystal structure of Sr4CaMn2Ga2O10 (PBE+U, the Alexandria database). Values from VASP.

Space-group type: No. 2

Structure (Quantum ESPRESSO input):
```
&SYSTEM
  ibrav = 0, nat = 19, ntyp = 5
/
ATOMIC_SPECIES
Sr 87.62 Sr.upf
Ca 40.08 Ca.upf
Mn 54.94 Mn.upf
Ga 69.72 Ga.upf
O 16.00 O.upf
ATOMIC_POSITIONS angstrom
Sr -0.020 0.391 1.781
Sr 0.408 1.251 5.301
Sr 3.337 2.377 3.100
Sr 3.766 3.237 6.620
Ca 2.390 3.010 0.000
Mn -0.630 3.010 0.000
Mn 3.020 0.000 0.000
Ga 0.433 3.959 3.564
Ga 3.313 -0.332 4.838
O -0.951 3.245 4.501
O -0.198 -0.968 7.950
O -0.198 2.109 7.553
O 0.913 2.989 2.063
O 1.798 -0.141 3.570
O 1.947 3.769 4.832
O 2.832 0.639 6.338
O 3.944 1.519 0.848
O 3.943 4.596 0.452
O 4.697 0.383 3.900
CELL_PARAMETERS angstrom
6.040 0.000 0.000
-1.261 6.020 0.000
-1.034 -2.392 8.401
```

Stability summary: most stable two, least stable one.

--- one ---
# Sr4CaMn2Ga2O11

An optimized crystal structure of Sr4CaMn2Ga2O11 (PBE+U, the Alexandria database). Values from VASP.

Space-group type: No. 2

Structure (Quantum ESPRESSO input):
```
&SYSTEM
  ibrav = 0, nat = 20, ntyp = 5
/
ATOMIC_SPECIES
Sr 87.62 Sr.upf
Ca 40.08 Ca.upf
Mn 54.94 Mn.upf
Ga 69.72 Ga.upf
O 16.00 O.upf
ATOMIC_POSITIONS angstrom
Sr 0.203 0.070 1.861
Sr 0.403 0.133 5.331
Sr 3.309 3.220 2.669
Sr 3.509 3.284 6.140
Ca 2.752 2.941 0.000
Mn -0.130 2.941 0.000
Mn 2.882 0.000 0.000
Ga 0.390 2.990 3.931
Ga 3.322 0.363 4.070
O -0.896 -1.264 4.000
O -1.026 1.677 4.000
O 0.521 3.234 1.955
O -0.601 1.791 7.406
O -0.416 -1.293 7.818
O 1.011 3.709 5.582
O 1.856 1.677 4.000
O 2.701 -0.355 2.419
O 4.128 4.646 0.182
O 4.313 1.563 0.594
O 3.192 0.120 6.046
CELL_PARAMETERS angstrom
5.765 0.000 0.000
-0.260 5.881 0.000
-1.792 -2.528 8.001
```

--- two ---
# Sr4CaMn2Ga2O11

An optimized crystal structure of Sr4CaMn2Ga2O11 (PBE+U, the Alexandria database). Values from VASP.

Space-group type: No. 1

Structure (Quantum ESPRESSO input):
```
&SYSTEM
  ibrav = 0, nat = 20, ntyp = 5
/
ATOMIC_SPECIES
Sr 87.62 Sr.upf
Ca 40.08 Ca.upf
Mn 54.94 Mn.upf
Ga 69.72 Ga.upf
O 16.00 O.upf
ATOMIC_POSITIONS angstrom
Sr 0.000 0.000 0.000
Sr 1.475 1.397 5.323
Sr 4.706 4.367 8.907
Sr 4.832 4.500 5.267
Ca 3.127 2.881 3.274
Mn 3.232 5.635 1.833
Mn 5.874 2.773 1.832
Ga 1.878 4.319 7.042
Ga 4.430 1.553 7.040
O 2.122 4.027 8.904
O 1.518 1.402 2.631
O 2.148 4.022 5.149
O 1.880 4.087 1.748
O 3.378 5.687 7.015
O 4.169 1.812 8.910
O 4.181 1.811 5.132
O 4.225 1.549 1.745
O 4.622 4.268 2.228
O 5.892 2.951 7.008
O 6.145 5.696 7.058
CELL_PARAMETERS angstrom
5.541 0.000 0.000
0.443 5.524 0.000
1.606 1.503 9.118
```

--- three ---
# Sr4CaMn2Ga2O11

An optimized crystal structure of Sr4CaMn2Ga2O11 (PBE+U, the Alexandria database). Values from VASP.

Space-group type: No. 5

Structure (Quantum ESPRESSO input):
```
&SYSTEM
  ibrav = 0, nat = 20, ntyp = 5
/
ATOMIC_SPECIES
Sr 87.62 Sr.upf
Ca 40.08 Ca.upf
Mn 54.94 Mn.upf
Ga 69.72 Ga.upf
O 16.00 O.upf
ATOMIC_POSITIONS angstrom
Sr 0.540 0.000 1.938
Sr 0.169 -0.134 5.213
Sr 4.456 -0.134 2.300
Sr 4.086 0.000 5.576
Ca 4.069 1.621 0.000
Mn 2.313 2.392 3.757
Mn 2.313 -2.384 3.757
Ga 2.544 -1.907 0.090
Ga 2.082 -1.907 7.423
O 0.415 2.114 3.455
O 2.524 2.602 1.589
O 2.102 2.602 5.925
O 2.710 -0.116 0.408
O 4.211 2.114 4.058
O 2.313 -0.432 3.757
O 1.561 -2.408 1.607
O 1.916 -0.116 7.106
O 4.069 -2.974 0.000
O 2.313 -4.365 3.757
O 3.065 -2.408 5.907
CELL_PARAMETERS angstrom
4.069 -4.540 0.000
4.069 4.540 0.000
-3.512 0.000 7.514
```

Stability summary: most stable two, least stable one.